First-principles (PBE) data for crystalline Mn2CrRu at its relaxed geometry, as listed in Alexandria via LeMat-Bulk.

## Properties
- M_tot (μB per cell) = 1.8
- E_form (kcal/mol of atoms) = 2.8

Cell lengths 4.478, 4.478, 4.478 Å; angles 132.00, 132.00, 70.23 degrees
Site moments in Bohr magnetons follow the coordinates.
Atoms (fractional coordinates):
Ru  0.500  0.500  0.000  0.09
Mn  0.250  0.750  0.500  1.03
Mn  0.000  0.000  0.000  1.59
Cr  0.750  0.250  0.500  -0.98

First-principles (PBE) data for crystalline LaCe2Ge at its relaxed geometry, as listed in Alexandria via LeMat-Bulk.

## Properties
- M_tot (μB per cell) = 0.0
- E_form (kcal/mol of atoms) = -7.0

Cell lengths 5.366, 5.373, 8.804 Å; angles 90.00, 90.00, 119.98 degrees
Atoms (fractional coordinates):
Ce  0.166  0.333  0.402
Ce  0.166  0.333  0.098
Ce  0.834  0.667  0.598
Ce  0.834  0.667  0.902
La  0.499  0.999  0.250
La  0.501  0.001  0.750
Ge  0.832  0.665  0.250
Ge  0.168  0.335  0.750

First-principles (PBE) data for crystalline ZrCd2Hg at its relaxed geometry, as listed in Alexandria via LeMat-Bulk.

## Properties
- M_tot (μB per cell) = 0.0
- E_form (kcal/mol of atoms) = 0.2

Cell lengths 3.127, 4.408, 6.425 Å; angles 90.00, 90.00, 90.00 degrees
Atoms (fractional coordinates):
Hg  0.500  0.500  0.250
Cd  0.000  0.000  0.505
Cd  0.000  0.000  0.995
Zr  0.500  0.500  0.750

First-principles (PBE) data for crystalline KCaBr2 at its relaxed geometry, as listed in Alexandria via LeMat-Bulk.

## Properties
- M_tot (μB per cell) = 0.0
- raw formation energy (eV per atom) = -1.46

Cell lengths 4.172, 4.308, 8.017 Å; angles 89.99, 90.00, 90.00 degrees
Atoms (fractional coordinates):
K  0.500  0.750  0.750
Br  0.000  0.250  0.985
Br  0.000  0.250  0.515
Ca  0.500  0.250  0.250

First-principles (PBE) data for crystalline BeIr2Ru at its relaxed geometry, as listed in Alexandria via LeMat-Bulk.

## Properties
- M_tot (μB per cell) = 0.0
- E_form (kcal/mol of atoms) = -0.7

Cell lengths 4.585, 4.585, 2.696 Å; angles 90.00, 90.00, 109.45 degrees
Atoms (fractional coordinates):
Ir  0.500  0.500  0.000
Ir  0.000  0.000  0.000
Ru  0.500  0.000  0.500
Be  0.000  0.500  0.500

First-principles (PBE) data for crystalline Zn2InSi at its relaxed geometry, as listed in Alexandria via LeMat-Bulk.

## Properties
- M_tot (μB per cell) = 0.0
- raw formation energy (eV per atom) = 0.37

Cell lengths 4.745, 4.745, 4.745 Å; angles 60.00, 60.00, 60.00 degrees
Atoms (fractional coordinates):
Zn  0.000  0.000  0.000
Zn  0.250  0.250  0.250
In  0.500  0.500  0.500
Si  0.750  0.750  0.750

First-principles (PBE) data for crystalline CaGdBiPb at its relaxed geometry, as listed in Alexandria via LeMat-Bulk.

## Properties
- M_tot (μB per cell) = 7.3
- E_form (kcal/mol of atoms) = -12.4

Cell lengths 5.569, 5.569, 5.569 Å; angles 60.00, 60.00, 60.00 degrees
Site moments in Bohr magnetons follow the coordinates.
Atoms (fractional coordinates):
Pb  0.000  0.000  0.000  0.01
Ca  0.250  0.250  0.250  0.01
Gd  0.750  0.750  0.750  7.04
Bi  0.500  0.500  0.500  0.01

First-principles (PBE) data for crystalline TcAgH2Cl at its relaxed geometry, as listed in Alexandria via LeMat-Bulk.

## Properties
- M_tot (μB per cell) = 2.0
- total DFT energy (no corrections) (eV/f.u.) = -19.3

Cell lengths 3.712, 4.962, 3.712 Å; angles 90.00, 90.00, 90.00 degrees
Site moments in Bohr magnetons follow the coordinates.
Atoms (fractional coordinates):
Cl  0.000  0.500  0.000  0.06
Tc  0.000  0.000  0.000  1.81
H  0.500  0.000  0.000  -0.01
H  0.000  0.000  0.500  -0.02
Ag  0.500  0.500  0.500  0.01

M_tot of number 4 (KCaBr2)?
0.0 μB per cell